Entry 1:
The following is a DFT calculation (PBE) of an optimized crystal structure of Mg2TaRu.

```
Mg2TaRu
1.0
3.4383 0.0000 0.0000
0.0000 3.4383 0.0000
0.0000 0.0000 5.7477
Mg Ru Ta
2 1 1
Direct
0.0000 0.0000 0.0201 Mg
0.0000 0.0000 0.4799 Mg
0.5000 0.5000 0.2500 Ru
0.5000 0.5000 0.7500 Ta
```

Results
For the energy, the calculation gives -22.92 eV/f.u. As for the density of states at the Fermi level: 0.605 states/eV/atom. The space group is P4/mmm (123). The relative energy among the computed polymorphs comes out at 445.8 meV per atom.



Entry 2:
The following is a DFT calculation (PBE) of an optimized crystal structure of MgTa2Ru.

```
MgTa2Ru
1.0
2.9228 0.2009 0.0000
-0.2903 2.9153 0.0000
0.0000 0.0000 8.4106
Mg Ru Ta
1 1 2
Direct
0.5000 0.5000 0.2500 Mg
0.5000 0.5000 0.7500 Ru
0.0000 0.0000 0.9620 Ta
0.0000 0.0000 0.5380 Ta
```

Results
For the energy, the calculation gives -34.26 eV/f.u. As for the density of states at the Fermi level: 1.314 states/eV/atom. The space group is Cmmm (65).



Entry 3:
The following is a DFT calculation (PBE) of an optimized crystal structure of Mg2TaRu.

```
Mg2TaRu
1.0
5.4030 -0.0120 -0.0063
2.2663 4.9048 0.0063
-3.2598 -3.3475 2.7131
Mg Ru Ta
2 1 1
Direct
0.0034 0.0034 0.0000 Mg
0.7291 0.2291 0.5000 Mg
0.4850 0.4850 0.0000 Ru
0.2825 0.7825 0.5000 Ta
```

Results
For the energy, the calculation gives -24.08 eV/f.u. As for the density of states at the Fermi level: 0.640 states/eV/atom. The space group is Imm2 (44). The relative energy among the computed polymorphs comes out at 157.7 meV per atom.



Entry 4:
The following is a DFT calculation (PBE) of an optimized crystal structure of Mg2TaRu.

```
Mg2TaRu
1.0
5.3212 0.0012 0.0000
-2.6553 4.6114 0.0000
0.0000 0.0000 2.8187
Mg Ru Ta
2 1 1
Direct
0.0000 0.0000 0.0000 Mg
0.5000 0.5000 0.0000 Mg
0.5000 0.0000 0.5000 Ru
0.0000 0.5000 0.5000 Ta
```

Results
For the energy, the calculation gives -23.44 eV/f.u. As for the density of states at the Fermi level: 0.899 states/eV/atom. The space group is Cmmm (65). The relative energy among the computed polymorphs comes out at 315.9 meV per atom.



Among the records above, which one has the lowest energy?
MgTa2Ru